1.
{"formula": "CdSeBr2Cl", "functional": "PBE-GGA", "state": "relaxed", "sg": "P4/mmm, No. 123", "final_energy_ev_per_atom": -1.73, "volume_a3_per_atom": 33.1, "de_polymorph_kj_per_mol_atoms": 0.00, "dos_at_fermi_per_ev_atom": 1.2219, "e_form_raw_ev_per_atom": 0.1863, "lattice_angstrom": [[5.4075, 0.0000, 0.0000], [0.0000, 5.4075, 0.0000], [0.0000, 0.0000, 5.6676]], "species": ["Cd", "Se", "Br", "Br", "Cl"], "fractional_positions": [[0.0000, 0.0000, 0.0000], [0.0000, 0.0000, 0.5000], [0.0000, 0.5000, 0.0000], [0.5000, 0.0000, 0.0000], [0.5000, 0.5000, 0.5000]]}

---

2.
{"formula": "Ac3Mg2In3", "functional": "PBE-GGA", "state": "relaxed", "sg": "Immm, No. 71", "final_energy_ev_per_atom": -3.24, "volume_a3_per_atom": 31.3, "de_polymorph_kj_per_mol_atoms": 9.72, "dos_at_fermi_per_ev_atom": 0.6819, "ef_mev_per_atom": -274.3, "lattice_angstrom": [[-2.3702, 2.6652, 9.9144], [2.3702, -2.6652, 9.9144], [2.3702, 2.6652, -9.9144]], "species": ["Ac", "Ac", "Ac", "Mg", "Mg", "In", "In", "In"], "fractional_positions": [[0.0000, 0.0000, 0.0000], [0.3666, 0.8666, 0.5000], [0.6334, 0.1334, 0.5000], [0.2431, 0.2431, 0.0000], [0.7569, 0.7569, 0.0000], [0.1467, 0.6467, 0.5000], [0.5000, 0.5000, 0.0000], [0.8533, 0.3533, 0.5000]]}

---

3.
{"formula": "BiOs", "functional": "PBE-GGA", "state": "relaxed", "sg": "P4/m, No. 83", "final_energy_ev_per_atom": -6.76, "volume_a3_per_atom": 29.3, "de_polymorph_kj_per_mol_atoms": 7.91, "dos_at_fermi_per_ev_atom": 0.5898, "ef_mev_per_atom": 791.9, "lattice_angstrom": [[10.6426, 0.0000, 0.0000], [0.0000, 10.6426, 0.0000], [0.0000, 0.0000, 4.1322]], "species": ["Bi", "Bi", "Bi", "Bi", "Bi", "Bi", "Bi", "Bi", "Os", "Os", "Os", "Os", "Os", "Os", "Os", "Os"], "fractional_positions": [[0.0295, 0.2529, 0.0000], [0.2377, 0.6590, 0.5000], [0.2529, 0.9705, 0.0000], [0.3410, 0.2377, 0.5000], [0.6590, 0.7623, 0.5000], [0.7471, 0.0295, 0.0000], [0.7623, 0.3410, 0.5000], [0.9705, 0.7471, 0.0000], [0.1207, 0.5179, 0.0000], [0.1509, 0.4009, 0.5000], [0.4009, 0.8491, 0.5000], [0.4821, 0.1207, 0.0000], [0.5179, 0.8793, 0.0000], [0.5991, 0.1509, 0.5000], [0.8491, 0.5991, 0.5000], [0.8793, 0.4821, 0.0000]]}

---

4.
{"formula": "CsRbHg2Rh", "functional": "PBE-GGA", "state": "relaxed", "sg": "P4/mmm, No. 123", "final_energy_ev_per_atom": -1.94, "volume_a3_per_atom": 35.9, "dos_at_fermi_per_ev_atom": 0.3845, "ef_mev_per_atom": 19.5, "lattice_angstrom": [[5.4597, 0.0000, 0.0000], [0.0000, 5.4597, 0.0000], [0.0000, 0.0000, 6.0263]], "species": ["Cs", "Rb", "Hg", "Hg", "Rh"], "fractional_positions": [[0.0000, 0.0000, 0.0000], [0.5000, 0.5000, 0.0000], [0.0000, 0.5000, 0.5000], [0.5000, 0.0000, 0.5000], [0.5000, 0.5000, 0.5000]]}

---

5.
{"formula": "Co2PBr", "functional": "PBE-GGA", "state": "relaxed", "sg": "P4/mmm, No. 123", "final_energy_ev_per_atom": -5.06, "volume_a3_per_atom": 13.8, "de_polymorph_kj_per_mol_atoms": 44.96, "dos_at_fermi_per_ev_atom": 0.8755, "e_form_raw_ev_per_atom": 0.2622, "lattice_angstrom": [[2.8693, 0.0000, 0.0000], [0.0000, 2.8693, 0.0000], [0.0000, 0.0000, 6.7061]], "species": ["Co", "Co", "P", "Br"], "fractional_positions": [[0.0000, 0.0000, 0.1804], [0.0000, 0.0000, 0.8196], [0.5000, 0.5000, 0.0000], [0.5000, 0.5000, 0.5000]]}

---

6.
{"formula": "Ce2PmPb2", "functional": "PBE-GGA", "state": "relaxed", "sg": "P6_3/mmc, No. 194", "final_energy_ev_per_atom": -4.94, "volume_a3_per_atom": 31.0, "de_polymorph_kj_per_mol_atoms": 13.94, "dos_at_fermi_per_ev_atom": 2.8645, "ef_mev_per_atom": -129.2, "lattice_angstrom": [[5.2292, 0.0000, 0.0000], [-2.6146, 4.5286, 0.0000], [0.0000, 0.0000, 13.0806]], "species": ["Ce", "Ce", "Ce", "Ce", "Pm", "Pm", "Pb", "Pb", "Pb", "Pb"], "fractional_positions": [[0.0000, 0.0000, 0.0000], [0.0000, 0.0000, 0.5000], [0.3333, 0.6667, 0.2500], [0.6667, 0.3333, 0.7500], [0.0000, 0.0000, 0.2500], [0.0000, 0.0000, 0.7500], [0.3333, 0.6667, 0.6185], [0.3333, 0.6667, 0.8815], [0.6667, 0.3333, 0.1185], [0.6667, 0.3333, 0.3815]]}

---

7.
{"formula": "PSe", "functional": "PBE-GGA", "state": "relaxed", "sg": "P2_1/m, No. 11", "final_energy_ev_per_atom": -4.40, "volume_a3_per_atom": 26.7, "de_polymorph_kj_per_mol_atoms": 12.17, "dos_at_fermi_per_ev_atom": 0.1562, "e_form_raw_ev_per_atom": 0.0461, "lattice_angstrom": [[3.3804, 0.0000, 0.0000], [0.0000, 4.9432, 0.0000], [-1.6785, 0.0000, 6.3901]], "species": ["P", "P", "Se", "Se"], "fractional_positions": [[0.0082, 0.2500, 0.0163], [0.9918, 0.7500, 0.9837], [0.3681, 0.7500, 0.7346], [0.6319, 0.2500, 0.2654]]}

---

8.
{"formula": "Pr6DyTh", "functional": "PBE-GGA", "state": "relaxed", "sg": "P4/mmm, No. 123", "final_energy_ev_per_atom": -5.04, "volume_a3_per_atom": 35.0, "de_polymorph_kj_per_mol_atoms": 0.00, "dos_at_fermi_per_ev_atom": 1.5655, "ef_mev_per_atom": 42.5, "lattice_angstrom": [[5.1928, 0.0000, 0.0000], [0.0000, 5.1928, 0.0000], [0.0000, 0.0000, 10.3973]], "species": ["Pr", "Pr", "Pr", "Pr", "Pr", "Pr", "Dy", "Th"], "fractional_positions": [[0.0000, 0.0000, 0.0000], [0.0000, 0.0000, 0.5000], [0.0000, 0.5000, 0.2475], [0.0000, 0.5000, 0.7525], [0.5000, 0.0000, 0.2475], [0.5000, 0.0000, 0.7525], [0.5000, 0.5000, 0.5000], [0.5000, 0.5000, 0.0000]]}

---

9.
{"formula": "SrZnAg2Br", "functional": "PBE-GGA", "state": "relaxed", "sg": "P4/mmm, No. 123", "final_energy_ev_per_atom": -2.31, "volume_a3_per_atom": 30.0, "dos_at_fermi_per_ev_atom": 0.3675, "e_form_raw_ev_per_atom": -0.2426, "lattice_angstrom": [[4.8764, 0.0000, 0.0000], [0.0000, 4.8764, 0.0000], [0.0000, 0.0000, 6.3092]], "species": ["Sr", "Zn", "Ag", "Ag", "Br"], "fractional_positions": [[0.0000, 0.0000, 0.0000], [0.0000, 0.0000, 0.5000], [0.0000, 0.5000, 0.5000], [0.5000, 0.0000, 0.5000], [0.5000, 0.5000, 0.0000]]}

---

10.
{"formula": "Ta3NbIr6", "functional": "PBE-GGA", "state": "relaxed", "sg": "P-1, No. 2", "final_energy_ev_per_atom": -10.45, "volume_a3_per_atom": 15.8, "dos_at_fermi_per_ev_atom": 0.6679, "ef_mev_per_atom": -574.5, "lattice_angstrom": [[4.8378, 0.0000, 0.0000], [-1.4356, 7.3195, 0.0000], [-1.8835, -3.5584, 8.9204]], "species": ["Ta", "Ta", "Ta", "Ta", "Ta", "Ta", "Nb", "Nb", "Ir", "Ir", "Ir", "Ir", "Ir", "Ir", "Ir", "Ir", "Ir", "Ir", "Ir", "Ir"], "fractional_positions": [[0.0466, 0.3515, 0.2991], [0.2770, 0.7675, 0.5032], [0.3581, 0.4632, 0.1065], [0.6419, 0.5368, 0.8935], [0.7230, 0.2325, 0.4968], [0.9534, 0.6485, 0.7009], [0.1743, 0.0507, 0.8944], [0.8257, 0.9493, 0.1056], [0.0490, 0.3458, 0.7974], [0.1393, 0.0524, 0.3988], [0.2418, 0.7533, 0.0018], [0.3426, 0.4481, 0.5977], [0.4381, 0.1488, 0.1993], [0.4541, 0.1520, 0.7014], [0.5459, 0.8480, 0.2986], [0.5619, 0.8512, 0.8007], [0.6574, 0.5519, 0.4023], [0.7582, 0.2467, 0.9982], [0.8607, 0.9476, 0.6012], [0.9510, 0.6542, 0.2026]]}

---

11.
{"formula": "Tl2CdHgPb", "functional": "PBE-GGA", "state": "relaxed", "sg": "P2_1/m, No. 11", "final_energy_ev_per_atom": -1.89, "volume_a3_per_atom": 29.2, "dos_at_fermi_per_ev_atom": 0.4171, "ef_mev_per_atom": 46.1, "lattice_angstrom": [[6.0455, 0.0000, 0.0000], [0.0000, 5.0888, 0.0000], [-2.8965, 0.0000, 9.4890]], "species": ["Tl", "Tl", "Tl", "Tl", "Cd", "Cd", "Hg", "Hg", "Pb", "Pb"], "fractional_positions": [[0.1663, 0.2500, 0.0836], [0.3114, 0.2500, 0.5115], [0.6886, 0.7500, 0.4885], [0.8337, 0.7500, 0.9164], [0.2486, 0.7500, 0.7136], [0.7514, 0.2500, 0.2864], [0.4803, 0.2500, 0.8741], [0.5197, 0.7500, 0.1259], [0.0998, 0.7500, 0.2902], [0.9002, 0.2500, 0.7098]]}

---

12.
{"formula": "Pm2Sm2SiRh4", "functional": "PBE-GGA", "state": "relaxed", "sg": "I4/mmm, No. 139", "final_energy_ev_per_atom": -6.48, "volume_a3_per_atom": 21.7, "dos_at_fermi_per_ev_atom": 0.7615, "e_form_raw_ev_per_atom": -0.5063, "lattice_angstrom": [[-3.3082, 3.3082, 4.4597], [3.3082, -3.3082, 4.4597], [3.3082, 3.3082, -4.4597]], "species": ["Pm", "Pm", "Sm", "Sm", "Si", "Rh", "Rh", "Rh", "Rh"], "fractional_positions": [[0.2500, 0.7500, 0.5000], [0.7500, 0.2500, 0.5000], [0.1833, 0.1833, 0.0000], [0.8167, 0.8167, 0.0000], [0.5000, 0.5000, 0.0000], [0.2517, 0.2517, 0.5034], [0.2517, 0.7483, 0.0000], [0.7483, 0.2517, 0.0000], [0.7483, 0.7483, 0.4966]]}

---

13.
{"formula": "Tm2HfSi2Rh5", "functional": "PBE-GGA", "state": "relaxed", "sg": "P4/mbm, No. 127", "final_energy_ev_per_atom": -7.70, "volume_a3_per_atom": 16.7, "dos_at_fermi_per_ev_atom": 0.2032, "e_form_raw_ev_per_atom": -1.0492, "lattice_angstrom": [[9.6946, 0.0000, 0.0000], [0.0000, 9.6946, 0.0000], [0.0000, 0.0000, 3.5501]], "species": ["Tm", "Tm", "Tm", "Tm", "Hf", "Hf", "Si", "Si", "Si", "Si", "Rh", "Rh", "Rh", "Rh", "Rh", "Rh", "Rh", "Rh", "Rh", "Rh"], "fractional_positions": [[0.1742, 0.3258, 0.0000], [0.3258, 0.8258, 0.0000], [0.6742, 0.1742, 0.0000], [0.8258, 0.6742, 0.0000], [0.0000, 0.0000, 0.0000], [0.5000, 0.5000, 0.0000], [0.1225, 0.6225, 0.0000], [0.3775, 0.1225, 0.0000], [0.6225, 0.8775, 0.0000], [0.8775, 0.3775, 0.0000], [0.0000, 0.5000, 0.5000], [0.0698, 0.7862, 0.5000], [0.2138, 0.0698, 0.5000], [0.2862, 0.5698, 0.5000], [0.4302, 0.2862, 0.5000], [0.5000, 0.0000, 0.5000], [0.5698, 0.7138, 0.5000], [0.7138, 0.4302, 0.5000], [0.7862, 0.9302, 0.5000], [0.9302, 0.2138, 0.5000]]}

---

14.
{"formula": "ScNi", "functional": "PBE-GGA", "state": "relaxed", "sg": "Pmmn, No. 59", "final_energy_ev_per_atom": -6.34, "volume_a3_per_atom": 16.9, "dos_at_fermi_per_ev_atom": 0.6928, "ef_mev_per_atom": -285.1, "lattice_angstrom": [[3.4152, 0.0000, 0.0000], [0.0000, 3.5403, 0.0000], [0.0000, 0.0000, 5.5956]], "species": ["Sc", "Sc", "Ni", "Ni"], "fractional_positions": [[0.2500, 0.2500, 0.1900], [0.7500, 0.7500, 0.8100], [0.2500, 0.2500, 0.6582], [0.7500, 0.7500, 0.3418]]}

---

15.
{"formula": "CuTc2Hg", "functional": "PBE-GGA", "state": "relaxed", "sg": "I-42d, No. 122", "final_energy_ev_per_atom": -5.57, "volume_a3_per_atom": 17.1, "dos_at_fermi_per_ev_atom": 1.0504, "ef_mev_per_atom": 716.2, "lattice_angstrom": [[-1.8603, 1.8603, 9.8645], [1.8603, -1.8603, 9.8645], [1.8603, 1.8603, -9.8645]], "species": ["Cu", "Cu", "Tc", "Tc", "Tc", "Tc", "Hg", "Hg"], "fractional_positions": [[0.0000, 0.0000, 0.0000], [0.7500, 0.2500, 0.5000], [0.0710, 0.6250, 0.9460], [0.3750, 0.3210, 0.4460], [0.6790, 0.1250, 0.0540], [0.8750, 0.9290, 0.5540], [0.2500, 0.7500, 0.5000], [0.5000, 0.5000, 0.0000]]}

---

16.
{"formula": "Pu2Ga8Au", "functional": "PBE-GGA", "state": "relaxed", "sg": "P4/mmm, No. 123", "final_energy_ev_per_atom": -5.44, "volume_a3_per_atom": 19.6, "dos_at_fermi_per_ev_atom": 1.7481, "ef_mev_per_atom": -338.1, "lattice_angstrom": [[4.3806, 0.0000, 0.0000], [0.0000, 4.3806, 0.0000], [0.0000, 0.0000, 11.2375]], "species": ["Pu", "Pu", "Ga", "Ga", "Ga", "Ga", "Ga", "Ga", "Ga", "Ga", "Au"], "fractional_positions": [[0.0000, 0.0000, 0.1874], [0.0000, 0.0000, 0.8126], [0.0000, 0.5000, 0.0000], [0.0000, 0.5000, 0.3637], [0.0000, 0.5000, 0.6363], [0.5000, 0.0000, 0.0000], [0.5000, 0.0000, 0.3637], [0.5000, 0.0000, 0.6363], [0.5000, 0.5000, 0.1896], [0.5000, 0.5000, 0.8104], [0.0000, 0.0000, 0.5000]]}

---

17.
{"formula": "CsInHg2Sb", "functional": "PBE-GGA", "state": "relaxed", "sg": "P4/mmm, No. 123", "final_energy_ev_per_atom": -1.74, "volume_a3_per_atom": 41.2, "de_polymorph_kj_per_mol_atoms": 14.17, "dos_at_fermi_per_ev_atom": 0.5202, "e_form_raw_ev_per_atom": -0.0755, "lattice_angstrom": [[5.9697, 0.0000, 0.0000], [0.0000, 5.9697, 0.0000], [0.0000, 0.0000, 5.7757]], "species": ["Cs", "In", "Hg", "Hg", "Sb"], "fractional_positions": [[0.0000, 0.0000, 0.0000], [0.5000, 0.5000, 0.5000], [0.0000, 0.5000, 0.5000], [0.5000, 0.0000, 0.5000], [0.5000, 0.5000, 0.0000]]}

---

18.
{"formula": "Y2IrOs2", "functional": "PBE-GGA", "state": "relaxed", "sg": "P4/mbm, No. 127", "final_energy_ev_per_atom": -8.12, "volume_a3_per_atom": 19.6, "de_polymorph_kj_per_mol_atoms": 90.94, "dos_at_fermi_per_ev_atom": 0.7401, "ef_mev_per_atom": 728.0, "lattice_angstrom": [[7.9292, 0.0000, 0.0000], [0.0000, 7.9292, 0.0000], [0.0000, 0.0000, 3.1191]], "species": ["Y", "Y", "Y", "Y", "Ir", "Ir", "Os", "Os", "Os", "Os"], "fractional_positions": [[0.1365, 0.3635, 0.0000], [0.3635, 0.8635, 0.0000], [0.6365, 0.1365, 0.0000], [0.8635, 0.6365, 0.0000], [0.0000, 0.0000, 0.0000], [0.5000, 0.5000, 0.0000], [0.1730, 0.6730, 0.5000], [0.3270, 0.1730, 0.5000], [0.6730, 0.8270, 0.5000], [0.8270, 0.3270, 0.5000]]}

---

19.
{"formula": "CoRuCl2", "functional": "PBE-GGA", "state": "relaxed", "sg": "I-4m2, No. 119", "final_energy_ev_per_atom": -4.34, "volume_a3_per_atom": 16.7, "de_polymorph_kj_per_mol_atoms": 62.96, "dos_at_fermi_per_ev_atom": 1.2976, "e_form_raw_ev_per_atom": 0.6817, "lattice_angstrom": [[-1.7503, 1.7503, 5.4554], [1.7503, -1.7503, 5.4554], [1.7503, 1.7503, -5.4554]], "species": ["Co", "Ru", "Cl", "Cl"], "fractional_positions": [[0.0000, 0.0000, 0.0000], [0.2500, 0.7500, 0.5000], [0.5000, 0.5000, 0.0000], [0.7500, 0.2500, 0.5000]]}

---

20.
{"formula": "ZrMn2Br", "functional": "PBE-GGA", "state": "relaxed", "sg": "Pmmm, No. 47", "final_energy_ev_per_atom": -6.77, "volume_a3_per_atom": 18.4, "de_polymorph_kj_per_mol_atoms": 31.66, "dos_at_fermi_per_ev_atom": 1.0959, "e_form_raw_ev_per_atom": 0.3737, "lattice_angstrom": [[3.1590, 0.0000, 0.0000], [0.0000, 4.6869, 0.0000], [0.0000, 0.0000, 4.9626]], "species": ["Zr", "Mn", "Mn", "Br"], "fractional_positions": [[0.0000, 0.0000, 0.0000], [0.0000, 0.5000, 0.5000], [0.5000, 0.0000, 0.5000], [0.5000, 0.5000, 0.0000]]}

---

21.
{"formula": "Tb2Dy2Ho7", "functional": "PBE-GGA", "state": "relaxed", "sg": "C2/m, No. 12", "final_energy_ev_per_atom": -4.48, "volume_a3_per_atom": 31.7, "de_polymorph_kj_per_mol_atoms": 0.00, "dos_at_fermi_per_ev_atom": 1.5639, "ef_mev_per_atom": 115.4, "lattice_angstrom": [[4.4226, -4.6735, 0.0000], [4.4226, 4.6735, 0.0000], [-1.6768, 0.0000, 8.4483]], "species": ["Tb", "Tb", "Dy", "Dy", "Ho", "Ho", "Ho", "Ho", "Ho", "Ho", "Ho"], "fractional_positions": [[0.1765, 0.8235, 0.0000], [0.8235, 0.1765, 0.0000], [0.1054, 0.1054, 0.3568], [0.8946, 0.8946, 0.6432], [0.0546, 0.4192, 0.7095], [0.3503, 0.3503, 0.0931], [0.4192, 0.0546, 0.7095], [0.5000, 0.5000, 0.5000], [0.5808, 0.9454, 0.2905], [0.6497, 0.6497, 0.9069], [0.9454, 0.5808, 0.2905]]}

---

22.
{"formula": "Sm6Tl3Pt", "functional": "PBE-GGA", "state": "relaxed", "sg": "Pnnm, No. 58", "final_energy_ev_per_atom": -4.57, "volume_a3_per_atom": 29.5, "dos_at_fermi_per_ev_atom": 0.8612, "ef_mev_per_atom": -427.2, "lattice_angstrom": [[9.2116, 0.0000, 0.0000], [0.0000, 12.0278, 0.0000], [0.0000, 0.0000, 5.3312]], "species": ["Sm", "Sm", "Sm", "Sm", "Sm", "Sm", "Sm", "Sm", "Sm", "Sm", "Sm", "Sm", "Tl", "Tl", "Tl", "Tl", "Tl", "Tl", "Pt", "Pt"], "fractional_positions": [[0.0112, 0.2386, 0.0000], [0.1561, 0.0827, 0.5000], [0.1861, 0.4160, 0.5000], [0.3139, 0.9160, 0.0000], [0.3439, 0.5827, 0.0000], [0.4888, 0.7386, 0.5000], [0.5112, 0.2614, 0.5000], [0.6561, 0.4173, 0.0000], [0.6861, 0.0840, 0.0000], [0.8139, 0.5840, 0.5000], [0.8439, 0.9173, 0.5000], [0.9888, 0.7614, 0.0000], [0.0000, 0.5000, 0.0000], [0.1547, 0.7337, 0.5000], [0.3453, 0.2337, 0.0000], [0.5000, 0.0000, 0.5000], [0.6547, 0.7663, 0.0000], [0.8453, 0.2663, 0.5000], [0.0000, 0.0000, 0.0000], [0.5000, 0.5000, 0.5000]]}